(1)
## MgAu5 (meta-GGA SCAN)

Data for a PBEsol-optimized structure of MgAu5.

a = 4.7291 Å, b = 4.9838 Å, c = 4.9838 Å
α = 120.00°, β = 90.00°, γ = 90.00°
Closest atoms and distances in Å follow each position.
Atoms (fractional coordinates):
Mg 0.5000 0.0000 0.0000  12 Au 2.88
Au 0.0000 0.3314 0.3314  10 Au 2.86-2.89, 2 Mg 2.88
Au 0.0000 0.6686 0.0000  10 Au 2.86-2.89, 2 Mg 2.88
Au 0.0000 0.0000 0.6686  10 Au 2.86-2.89, 2 Mg 2.88
Au 0.5000 0.3333 0.6667  9 Au 2.88-2.89, 3 Mg 2.88
Au 0.5000 0.6667 0.3333  9 Au 2.88-2.89, 3 Mg 2.88

Computed properties:
* ρ: 16473 kg/m3
* total magnetic moment: 0.00 μB per formula unit
* energy: -4.3195 Ry per atom
* DFT formation energy: -0.310 eV per atom

=====

(2)
## K2ZrAg (meta-GGA SCAN)

Data for a PBEsol-optimized structure of K2ZrAg.

a = 2.8919 Å, b = 6.6710 Å, c = 6.6710 Å
α = 90.00°, β = 90.00°, γ = 90.00°
Closest atoms and distances in Å follow each position.
Atoms (fractional coordinates):
Ag 0.5000 0.0000 0.0000  2 Ag 2.89
K 0.0000 0.0000 0.5000  2 K 2.89
K 0.0000 0.5000 0.0000  2 K 2.89
Zr 0.5000 0.5000 0.5000  2 Zr 2.89

Computed properties:
* ρ: 3578 kg/m3
* total magnetic moment: 0.02 μB per formula unit
* energy relative to the lowest polymorph listed for this composition: 0.242 eV/atom
* energy: -1.3746 Ry per atom
* DFT formation energy: 0.978 eV per atom

=====

(3)
## ScSnO3 (meta-GGA SCAN)

Data for a PBEsol-optimized structure of ScSnO3.

a = 4.0502 Å, b = 4.0502 Å, c = 4.0502 Å
α = 90.00°, β = 90.00°, γ = 90.00°
Closest atoms and distances in Å follow each position.
Atoms (fractional coordinates):
Sc 0.0000 0.0000 0.0000  6 O 2.03
Sn 0.5000 0.5000 0.5000  12 O 2.86
O 0.0000 0.5000 0.0000  2 Sc 2.03
O 0.0000 0.0000 0.5000  2 Sc 2.03
O 0.5000 0.0000 0.0000  2 Sc 2.03

Computed properties:
* ρ: 5290 kg/m3
* total magnetic moment: 0.95 μB per formula unit
* energy: -1.1567 Ry per atom
* energy relative to the elements, uncorrected: -1.97 eV/atom

=====

Look up the energy of the third one.
-1.1567 Ry per atom

=====

The lowest ρ belongs to which entry?
K2ZrAg